# ZnCOF2 | Alexandria | GGA-PBE | relaxed
data_ZnCOF2
_chemical_formula_sum 'Zn1 C1 O1 F2'
_cell_length_a 4.368
_cell_length_b 4.368
_cell_length_c 2.863
_cell_angle_alpha 90.00
_cell_angle_beta 90.00
_cell_angle_gamma 90.00
_symmetry_space_group_name_H-M 'P 4/m m m'
_symmetry_Int_Tables_number 123
_symmetry_space_group_name_Hall '-P 4 2'
loop_
_atom_site_label
_atom_site_type_symbol
_atom_site_fract_x
_atom_site_fract_y
_atom_site_fract_z
Zn1 Zn 0.000 0.000 0.000
C1 C 0.500 0.500 0.500
O1 O 0.500 0.500 0.000
F1 F 0.000 0.500 0.500
# - DOS at the Fermi energy: 1.9 states/eV per cell
# - Offset from the most stable computed form: 0.00 eV per formula unit
# - E_tot: -19.17 eV per formula unit
# - V: 10.922 Å³/atom
# - Raw formation energy: 0.006 eV per atom